Model a:
A plane-wave DFT calculation with PBEsol was carried out for crystalline Li2InAg2 at its relaxed geometry.

Geometry as POSCAR:
```
Li2InAg2
1.0
-1.178 -0.222 3.652
-3.031 -2.089 -1.105
5.496 -4.171 -0.503
Li Ag In
2 2 1
Direct
0.250 0.750 0.500
0.750 0.250 0.500
0.395 0.395 0.790
0.605 0.605 0.210
0.000 0.000 0.000
```

Computed properties:
D(E_F)	0.34	states/eV/atom
magnetization	0.000	μB per atom

Model b:
A plane-wave DFT calculation with PBEsol was carried out for crystalline Li2InAg2 at its relaxed geometry.

Geometry as POSCAR:
```
Li2InAg2
1.0
-0.495 -0.654 -3.011
-2.990 -6.477 1.898
-6.647 3.187 0.402
Li Ag In
4 4 2
Direct
0.500 0.163 0.663
0.500 0.663 0.837
0.500 0.837 0.337
0.500 0.337 0.163
0.000 0.367 0.867
0.000 0.867 0.633
0.000 0.633 0.133
0.000 0.133 0.367
0.000 0.000 0.000
0.000 0.500 0.500
```

Computed properties:
D(E_F)	0.37	states/eV/atom
magnetization	0.000	μB per atom

Of them, model a has the lowest stability.

Model a:
A plane-wave DFT calculation with PBEsol was carried out for crystalline MgInAg2 at its relaxed geometry.

Geometry as POSCAR:
```
MgInAg2
1.0
4.685 0.000 0.000
-2.343 4.071 0.204
0.000 2.497 3.964
Mg Ag In
1 2 1
Direct
0.500 0.000 0.500
0.250 0.500 0.250
0.750 0.500 0.750
0.000 0.000 0.000
```

Computed properties:
D(E_F)	0.23	states/eV/atom
magnetization	0.000	μB per atom

Model b:
A plane-wave DFT calculation with PBEsol was carried out for crystalline MgInAg2 at its relaxed geometry.

Geometry as POSCAR:
```
MgInAg2
1.0
-3.830 -1.425 0.762
1.445 -2.141 3.257
0.449 5.138 0.525
Mg Ag In
1 2 1
Direct
0.250 0.750 0.500
0.000 0.000 0.000
0.750 0.250 0.500
0.500 0.500 0.000
```

Computed properties:
D(E_F)	0.33	states/eV/atom
magnetization	0.000	μB per atom

Of them, model b has the lowest stability.

Model a:
A plane-wave DFT calculation with PBEsol was carried out for crystalline MgInAg2 at its relaxed geometry.

Geometry as POSCAR:
```
MgInAg2
1.0
-0.968 1.466 -3.027
-3.088 0.862 1.405
2.328 5.340 1.841
Mg Ag In
1 2 1
Direct
0.500 0.500 0.777
0.000 0.000 0.997
0.500 0.500 0.242
0.000 0.000 0.484
```

Computed properties:
D(E_F)	0.27	states/eV/atom
magnetization	0.000	μB per atom

Model b:
A plane-wave DFT calculation with PBEsol was carried out for crystalline MgInAg2 at its relaxed geometry.

Geometry as POSCAR:
```
MgInAg2
1.0
-3.724 0.688 -0.167
0.032 -0.872 -4.324
1.020 -4.174 3.099
Mg Ag In
1 2 1
Direct
0.255 0.755 0.509
0.005 0.005 0.011
0.747 0.247 0.494
0.493 0.493 0.986
```

Computed properties:
D(E_F)	0.29	states/eV/atom
magnetization	0.000	μB per atom

Of them, model a has the lowest stability.

Model a:
A plane-wave DFT calculation with PBEsol was carried out for crystalline MgInAg2 at its relaxed geometry.

Geometry as POSCAR:
```
MgInAg2
1.0
-2.005 2.618 -1.022
-2.008 -2.212 -1.729
-3.563 -0.743 5.087
Mg Ag In
1 2 1
Direct
0.500 0.500 0.500
0.000 0.000 0.736
0.000 0.000 0.264
0.500 0.500 0.000
```

Computed properties:
D(E_F)	0.24	states/eV/atom
magnetization	0.000	μB per atom

Model b:
A plane-wave DFT calculation with PBEsol was carried out for crystalline MgInAg2 at its relaxed geometry.

Geometry as POSCAR:
```
MgInAg2
1.0
-1.539 -0.326 -2.771
-3.270 -0.652 3.725
-0.090 5.030 -0.542
Mg Ag In
1 2 1
Direct
0.000 0.000 0.500
0.747 0.495 0.744
0.253 0.505 0.256
0.500 0.000 0.000
```

Computed properties:
D(E_F)	0.33	states/eV/atom
magnetization	0.000	μB per atom

Model c:
A plane-wave DFT calculation with PBEsol was carried out for crystalline MgInAg2 at its relaxed geometry.

Geometry as POSCAR:
```
MgInAg2
1.0
-2.041 0.312 2.315
3.152 -1.336 2.960
2.589 4.988 -0.507
Mg Ag In
1 2 1
Direct
0.213 0.500 0.803
0.802 0.000 0.972
0.945 0.500 0.269
0.539 0.000 0.456
```

Computed properties:
D(E_F)	0.30	states/eV/atom
magnetization	0.000	μB per atom

Of them, model b has the lowest stability.

Model a:
A plane-wave DFT calculation with PBEsol was carried out for crystalline MgInAg2 at its relaxed geometry.

Geometry as POSCAR:
```
MgInAg2
1.0
4.717 0.000 0.000
2.358 4.085 0.000
2.358 1.362 3.851
Mg Ag In
1 2 1
Direct
0.750 0.750 0.750
0.000 0.000 0.000
0.250 0.250 0.250
0.500 0.500 0.500
```

Computed properties:
D(E_F)	0.23	states/eV/atom
magnetization	0.000	μB per atom

Model b:
A plane-wave DFT calculation with PBEsol was carried out for crystalline MgInAg2 at its relaxed geometry.

Geometry as POSCAR:
```
MgInAg2
1.0
3.375 0.000 0.000
0.000 3.741 0.000
0.000 0.000 5.929
Mg Ag In
1 2 1
Direct
0.500 0.500 0.774
0.000 0.000 0.996
0.500 0.500 0.245
0.000 0.000 0.485
```

Computed properties:
D(E_F)	0.27	states/eV/atom
magnetization	0.000	μB per atom

Of them, model a has the lowest stability.

Model a:
A plane-wave DFT calculation with PBEsol was carried out for crystalline Ag2Ir at its relaxed geometry.

Geometry as POSCAR:
```
Ag2Ir
1.0
-0.006 5.074 -0.878
-4.447 2.595 -0.070
-1.132 3.271 3.812
Ag Ir
4 2
Direct
0.125 0.125 0.625
0.125 0.625 0.125
0.125 0.125 0.125
0.625 0.125 0.125
0.750 0.750 0.750
0.500 0.500 0.500
```

Computed properties:
D(E_F)	1.06	states/eV/atom
magnetization	0.243	μB per atom

Model b:
A plane-wave DFT calculation with PBEsol was carried out for crystalline Ag2Ir at its relaxed geometry.

Geometry as POSCAR:
```
Ag2Ir
1.0
2.694 0.000 0.000
-1.347 5.394 -0.012
0.000 -1.595 6.484
Ag Ir
4 2
Direct
0.796 0.592 0.848
0.204 0.408 0.152
0.870 0.741 0.481
0.130 0.259 0.519
0.472 0.944 0.173
0.528 0.056 0.827
```

Computed properties:
D(E_F)	0.88	states/eV/atom
magnetization	0.000	μB per atom

Of them, model a has the lowest stability.

Model a:
A plane-wave DFT calculation with PBEsol was carried out for crystalline KAgIr2 at its relaxed geometry.

Geometry as POSCAR:
```
KAgIr2
1.0
2.755 0.000 0.000
0.000 3.841 0.000
0.000 0.000 7.723
Ag Ir K
1 2 1
Direct
0.500 0.500 0.810
0.000 0.000 0.043
0.500 0.500 0.162
0.000 0.000 0.485
```

Computed properties:
D(E_F)	0.84	states/eV/atom
magnetization	0.000	μB per atom

Model b:
A plane-wave DFT calculation with PBEsol was carried out for crystalline KAgIr2 at its relaxed geometry.

Geometry as POSCAR:
```
KAgIr2
1.0
2.710 0.004 0.000
-1.291 2.383 0.000
0.000 0.000 10.393
Ag Ir K
1 2 1
Direct
0.500 0.500 0.000
0.000 0.000 0.232
0.000 0.000 0.768
0.500 0.500 0.500
```

Computed properties:
D(E_F)	0.77	states/eV/atom
magnetization	0.000	μB per atom

Model c:
A plane-wave DFT calculation with PBEsol was carried out for crystalline KAgIr2 at its relaxed geometry.

Geometry as POSCAR:
```
KAgIr2
1.0
-0.263 0.687 -3.730
-2.527 -2.820 -0.341
-2.251 4.232 2.875
Ag Ir K
1 2 1
Direct
0.000 0.000 0.000
0.750 0.250 0.500
0.250 0.750 0.500
0.500 0.500 0.000
```

Computed properties:
D(E_F)	1.14	states/eV/atom
magnetization	0.000	μB per atom

Of them, model c has the lowest stability.

Model a:
A plane-wave DFT calculation with PBEsol was carried out for crystalline LiAgIr at its relaxed geometry.

Geometry as POSCAR:
```
LiAgIr
1.0
2.548 0.000 0.000
0.000 4.427 0.000
0.000 -2.214 3.834
Ir Ag Li
1 1 1
Direct
0.657 0.667 0.333
0.147 0.000 0.000
0.197 0.333 0.667
```

Computed properties:
D(E_F)	0.32	states/eV/atom
magnetization	0.000	μB per atom

Model b:
A plane-wave DFT calculation with PBEsol was carried out for crystalline LiAgIr at its relaxed geometry.

Geometry as POSCAR:
```
LiAgIr
1.0
3.963 0.000 0.000
1.981 3.432 0.000
1.981 1.144 3.235
Ir Ag Li
1 1 1
Direct
0.500 0.500 0.500
0.000 0.000 0.000
0.750 0.750 0.750
```

Computed properties:
D(E_F)	0.78	states/eV/atom
magnetization	0.000	μB per atom

Of them, model b has the lowest stability.

Model a:
A plane-wave DFT calculation with PBEsol was carried out for crystalline Mg2AgIr at its relaxed geometry.

Geometry as POSCAR:
```
Mg2AgIr
1.0
-0.228 2.502 -1.907
-1.024 -2.702 -3.421
-4.347 0.372 1.007
Mg Ir Ag
2 1 1
Direct
0.000 0.000 0.500
0.000 0.500 0.000
0.500 0.000 0.000
0.500 0.500 0.500
```

Computed properties:
D(E_F)	0.31	states/eV/atom
magnetization	0.000	μB per atom

Model b:
A plane-wave DFT calculation with PBEsol was carried out for crystalline Mg2AgIr at its relaxed geometry.

Geometry as POSCAR:
```
Mg2AgIr
1.0
3.065 0.000 0.000
0.000 4.569 -0.036
-1.533 -1.436 4.663
Mg Ir Ag
2 1 1
Direct
0.984 0.939 0.968
0.760 0.300 0.519
0.247 0.802 0.495
0.509 0.459 0.018
```

Computed properties:
D(E_F)	0.35	states/eV/atom
magnetization	0.000	μB per atom

Of them, model b has the lowest stability.

Model a:
A plane-wave DFT calculation with PBEsol was carried out for crystalline MnAgIr2 at its relaxed geometry.

Geometry as POSCAR:
```
MnAgIr2
1.0
-1.059 -1.707 1.774
1.320 -2.024 -1.159
5.932 1.186 4.685
Ag Ir Mn
1 2 1
Direct
0.500 0.500 0.500
0.000 0.000 0.781
0.000 0.000 0.219
0.500 0.500 0.000
```

Computed properties:
D(E_F)	0.83	states/eV/atom
magnetization	0.003	μB per atom

Model b:
A plane-wave DFT calculation with PBEsol was carried out for crystalline MnAgIr2 at its relaxed geometry.

Geometry as POSCAR:
```
MnAgIr2
1.0
-3.480 -1.532 0.666
0.859 -0.322 3.750
-0.085 4.365 -1.593
Ag Ir Mn
1 2 1
Direct
0.000 0.000 0.000
0.750 0.250 0.500
0.250 0.750 0.500
0.500 0.500 0.000
```

Computed properties:
D(E_F)	0.76	states/eV/atom
magnetization	0.557	μB per atom

Model c:
A plane-wave DFT calculation with PBEsol was carried out for crystalline MnAgIr2 at its relaxed geometry.

Geometry as POSCAR:
```
MnAgIr2
1.0
2.714 0.000 0.006
0.000 4.210 0.000
-1.302 0.000 5.046
Ag Ir Mn
1 2 1
Direct
0.500 0.500 0.500
0.123 0.000 0.767
0.877 0.000 0.233
0.500 0.500 0.000
```

Computed properties:
D(E_F)	0.83	states/eV/atom
magnetization	0.885	μB per atom

Model d:
A plane-wave DFT calculation with PBEsol was carried out for crystalline MnAgIr2 at its relaxed geometry.

Geometry as POSCAR:
```
MnAgIr2
1.0
-0.593 -2.587 -0.810
3.850 1.347 -2.369
1.951 -1.679 3.931
Ag Ir Mn
1 2 1
Direct
0.248 0.496 0.734
0.007 0.014 0.033
0.751 0.502 0.231
0.494 0.987 0.502
```

Computed properties:
D(E_F)	0.90	states/eV/atom
magnetization	0.901	μB per atom

Of them, model c has the lowest stability.

Model a:
A plane-wave DFT calculation with PBEsol was carried out for crystalline Ag2MoIr at its relaxed geometry.

Geometry as POSCAR:
```
Ag2MoIr
1.0
-2.390 1.347 0.723
-2.109 -1.697 -3.811
-1.377 -3.747 2.431
Ag Ir Mo
2 1 1
Direct
0.000 0.000 0.500
0.000 0.500 0.000
0.500 0.500 0.500
0.500 0.000 0.000
```

Computed properties:
D(E_F)	1.16	states/eV/atom
magnetization	0.001	μB per atom

Model b:
A plane-wave DFT calculation with PBEsol was carried out for crystalline Ag2MoIr at its relaxed geometry.

Geometry as POSCAR:
```
Ag2MoIr
1.0
-0.599 -2.118 3.346
2.463 -2.849 -1.362
2.019 4.249 0.653
Ag Ir Mo
2 1 1
Direct
0.000 0.000 0.000
0.750 0.250 0.500
0.500 0.500 0.000
0.250 0.750 0.500
```

Computed properties:
D(E_F)	0.79	states/eV/atom
magnetization	0.000	μB per atom

Model c:
A plane-wave DFT calculation with PBEsol was carried out for crystalline Ag2MoIr at its relaxed geometry.

Geometry as POSCAR:
```
Ag2MoIr
1.0
2.677 0.011 0.000
-1.189 2.398 0.000
0.000 0.000 9.694
Ag Ir Mo
2 1 1
Direct
0.000 0.000 0.252
0.000 0.000 0.748
0.500 0.500 0.500
0.500 0.500 0.000
```

Computed properties:
D(E_F)	0.89	states/eV/atom
magnetization	0.000	μB per atom

Of them, model a has the lowest stability.

Model a:
A plane-wave DFT calculation with PBEsol was carried out for crystalline AgMo2Ir at its relaxed geometry.

Geometry as POSCAR:
```
AgMo2Ir
1.0
-1.277 -2.346 0.458
1.643 -0.484 2.100
-5.289 3.860 5.029
Ag Ir Mo
1 1 2
Direct
0.500 0.500 0.000
0.500 0.500 0.500
0.000 0.000 0.735
0.000 0.000 0.265
```

Computed properties:
D(E_F)	0.86	states/eV/atom
magnetization	0.000	μB per atom

Model b:
A plane-wave DFT calculation with PBEsol was carried out for crystalline AgMo2Ir at its relaxed geometry.

Geometry as POSCAR:
```
AgMo2Ir
1.0
2.724 0.000 0.000
0.000 4.876 -0.006
0.000 -1.860 4.507
Ag Ir Mo
1 1 2
Direct
0.500 0.000 0.000
0.500 0.500 0.500
0.000 0.500 0.000
0.000 0.000 0.500
```

Computed properties:
D(E_F)	0.66	states/eV/atom
magnetization	0.000	μB per atom

Of them, model b has the lowest stability.